(1)
The following is a DFT calculation (PBEsol) of K2EuAuCl6 after structural relaxation.

Calculated values
* crystal system: cubic
* SG: Fm-3m (225)
* uncorrected formation energy: -1.510 eV per atom
* magnetic moment: 5.96 μB per cell

Unit cell a=7.4546 b=7.4546 c=7.4546 alpha=60.00 beta=60.00 gamma=60.00
Site moments in Bohr magnetons follow the coordinates.
Atoms (fractional coordinates):
K  0.7500  0.7500  0.7500  0.00
K  0.2500  0.2500  0.2500  0.00
Cl  0.7460  0.2540  0.7460  -0.05
Cl  0.7460  0.7460  0.2540  -0.05
Cl  0.7460  0.2540  0.2540  -0.05
Cl  0.2540  0.2540  0.7460  -0.05
Cl  0.2540  0.7460  0.2540  -0.05
Cl  0.2540  0.7460  0.7460  -0.05
Eu  0.0000  0.0000  0.0000  6.48
Au  0.5000  0.5000  0.5000  -0.27


(2)
The following is a DFT calculation (PBEsol) of Rb2EuAuCl6 after structural relaxation.

Calculated values
* crystal system: cubic
* SG: Fm-3m (225)
* uncorrected formation energy: -1.551 eV per atom
* magnetic moment: 5.96 μB per cell

Unit cell a=7.4765 b=7.4765 c=7.4765 alpha=60.00 beta=60.00 gamma=60.00
Site moments in Bohr magnetons follow the coordinates.
Atoms (fractional coordinates):
Cl  0.2539  0.7461  0.7461  -0.05
Cl  0.7461  0.7461  0.2539  -0.05
Cl  0.7461  0.2539  0.2539  -0.05
Cl  0.2539  0.2539  0.7461  -0.05
Cl  0.2539  0.7461  0.2539  -0.05
Cl  0.7461  0.2539  0.7461  -0.05
Rb  0.7500  0.7500  0.7500  0.00
Rb  0.2500  0.2500  0.2500  0.00
Eu  0.0000  0.0000  0.0000  6.48
Au  0.5000  0.5000  0.5000  -0.27


(3)
The following is a DFT calculation (PBEsol) of HgAuClF2 after structural relaxation.

Calculated values
* crystal system: tetragonal
* SG: P4/mmm (123)
* uncorrected formation energy: -0.453 eV per atom
* magnetic moment: 0.00 μB per cell

Unit cell a=4.2203 b=4.2203 c=5.7188 alpha=90.00 beta=90.00 gamma=90.00
Atoms (fractional coordinates):
F  0.0000  0.5000  0.0000
F  0.5000  0.0000  0.0000
Au  0.5000  0.5000  0.5000
Cl  0.0000  0.0000  0.5000
Hg  0.0000  0.0000  0.0000


(4)
The following is a DFT calculation (PBEsol) of AuICl2F after structural relaxation.

Calculated values
* crystal system: tetragonal
* SG: P4/mmm (123)
* uncorrected formation energy: 0.230 eV per atom
* magnetic moment: 0.00 μB per cell

Unit cell a=4.4170 b=5.4025 c=5.4025 alpha=90.00 beta=90.00 gamma=90.00
Atoms (fractional coordinates):
Au  0.5000  0.5000  0.5000
Cl  0.0000  0.5000  0.0000
Cl  0.0000  0.0000  0.5000
I  0.0000  0.0000  0.0000
F  0.5000  0.0000  0.0000


(5)
The following is a DFT calculation (PBEsol) of PAuClF3 after structural relaxation.

Calculated values
* crystal system: orthorhombic
* SG: Pnma (62)
* uncorrected formation energy: -1.712 eV per atom
* magnetic moment: 0.00 μB per cell

Unit cell a=4.6910 b=5.2642 c=18.7679 alpha=90.00 beta=90.00 gamma=90.00
Atoms (fractional coordinates):
F  0.6015  0.5251  0.3129
F  0.3281  0.7500  0.8349
F  0.3985  0.4749  0.6871
F  0.1719  0.7500  0.3349
F  0.1015  0.4749  0.1871
F  0.8985  0.9749  0.8129
F  0.8281  0.2500  0.6651
F  0.8985  0.5251  0.8129
F  0.6719  0.2500  0.1651
F  0.3985  0.0251  0.6871
F  0.6015  0.9749  0.3129
F  0.1015  0.0251  0.1871
P  0.5107  0.2500  0.6410
P  0.9893  0.2500  0.1410
P  0.4893  0.7500  0.3590
P  0.0107  0.7500  0.8590
Au  0.1295  0.2500  0.0299
Au  0.6295  0.7500  0.4701
Au  0.3705  0.2500  0.5299
Au  0.8705  0.7500  0.9701
Cl  0.6381  0.7500  0.0764
Cl  0.8619  0.7500  0.5764
Cl  0.1381  0.2500  0.4236
Cl  0.3619  0.2500  0.9236


(6)
The following is a DFT calculation (PBEsol) of AuSCl2F after structural relaxation.

Calculated values
* crystal system: tetragonal
* SG: P4/mmm (123)
* uncorrected formation energy: 0.353 eV per atom
* magnetic moment: 2.12 μB per cell

Unit cell a=4.8135 b=4.8135 c=4.8373 alpha=90.00 beta=90.00 gamma=90.00
Site moments in Bohr magnetons follow the coordinates.
Atoms (fractional coordinates):
Au  0.0000  0.0000  0.0000  0.07
F  0.5000  0.5000  0.5000  0.51
Cl  0.5000  0.0000  0.0000  0.07
Cl  0.0000  0.5000  0.0000  0.07
S  0.0000  0.0000  0.5000  0.83


(7)
The following is a DFT calculation (PBEsol) of SbAu2ClF after structural relaxation.

Calculated values
* crystal system: tetragonal
* SG: P4/mmm (123)
* uncorrected formation energy: 0.315 eV per atom
* magnetic moment: 0.00 μB per cell

Unit cell a=4.0292 b=4.9327 c=4.9327 alpha=90.00 beta=90.00 gamma=90.00
Atoms (fractional coordinates):
Au  0.0000  0.0000  0.5000
Au  0.0000  0.5000  0.0000
Sb  0.5000  0.5000  0.5000
Cl  0.0000  0.0000  0.0000
F  0.5000  0.0000  0.0000


(8)
The following is a DFT calculation (PBEsol) of FeAu2Cl after structural relaxation.

Calculated values
* crystal system: tetragonal
* SG: P4/mmm (123)
* uncorrected formation energy: 0.440 eV per atom
* E above lowest polymorph: 163 meV/atom
* magnetic moment: 3.46 μB per cell

Unit cell a=3.7516 b=3.7516 c=4.9445 alpha=90.00 beta=90.00 gamma=90.00
Site moments in Bohr magnetons follow the coordinates.
Atoms (fractional coordinates):
Cl  0.5000  0.5000  0.5000  0.05
Fe  0.0000  0.0000  0.5000  3.26
Au  0.0000  0.5000  0.0000  0.02
Au  0.5000  0.0000  0.0000  0.02


(9)
The following is a DFT calculation (PBEsol) of FeAu2Cl after structural relaxation.

Calculated values
* crystal system: orthorhombic
* SG: Imm2 (44)
* uncorrected formation energy: 0.277 eV per atom
* E above lowest polymorph: 0 meV/atom
* magnetic moment: 3.29 μB per cell

Unit cell a=2.7998 b=5.1164 c=5.6045 alpha=117.16 beta=104.46 gamma=90.00
Site moments in Bohr magnetons follow the coordinates.
Atoms (fractional coordinates):
Au  0.9662  0.9662  0.9324  0.07
Au  0.7428  0.2428  0.4856  0.04
Fe  0.2384  0.7384  0.4769  3.00
Cl  0.5525  0.5525  0.1050  0.15


(10)
The following is a DFT calculation (PBEsol) of FeAu2Cl after structural relaxation.

Calculated values
* crystal system: cubic
* SG: F-43m (216)
* uncorrected formation energy: 0.489 eV per atom
* E above lowest polymorph: 212 meV/atom
* magnetic moment: 2.93 μB per cell

Unit cell a=4.5297 b=4.5338 c=4.5297 alpha=60.03 beta=90.00 gamma=119.97
Site moments in Bohr magnetons follow the coordinates.
Atoms (fractional coordinates):
Au  0.0000  0.0000  0.0000  0.02
Au  0.2500  0.5000  0.2500  -0.06
Fe  0.7500  0.5000  0.7500  3.01
Cl  0.5000  0.0000  0.5000  -0.01


(11)
The following is a DFT calculation (PBEsol) of FeAuS2Cl after structural relaxation.

Calculated values
* crystal system: tetragonal
* SG: P4/mmm (123)
* uncorrected formation energy: 0.372 eV per atom
* E above lowest polymorph: 0 meV/atom
* magnetic moment: 2.72 μB per cell

Unit cell a=4.3952 b=4.3952 c=4.5672 alpha=90.00 beta=90.00 gamma=90.00
Site moments in Bohr magnetons follow the coordinates.
Atoms (fractional coordinates):
S  0.5000  0.0000  0.0000  0.15
S  0.0000  0.5000  0.0000  0.15
Au  0.5000  0.5000  0.5000  0.03
Fe  0.0000  0.0000  0.0000  2.10
Cl  0.0000  0.0000  0.5000  0.06


(12)
The following is a DFT calculation (PBEsol) of FeAuS2Cl after structural relaxation.

Calculated values
* crystal system: tetragonal
* SG: P4/mmm (123)
* uncorrected formation energy: 0.876 eV per atom
* E above lowest polymorph: 504 meV/atom
* magnetic moment: 4.20 μB per cell

Unit cell a=4.7105 b=4.7953 c=4.7953 alpha=90.00 beta=90.00 gamma=90.00
Site moments in Bohr magnetons follow the coordinates.
Atoms (fractional coordinates):
Fe  0.5000  0.5000  0.5000  3.50
S  0.0000  0.5000  0.0000  0.14
S  0.0000  0.0000  0.5000  0.14
Cl  0.5000  0.0000  0.0000  0.04
Au  0.0000  0.0000  0.0000  0.02


(13)
The following is a DFT calculation (PBEsol) of Ge3AuCl after structural relaxation.

Calculated values
* crystal system: cubic
* SG: Pm-3m (221)
* uncorrected formation energy: 0.827 eV per atom
* magnetic moment: 0.00 μB per cell

Unit cell a=4.8033 b=4.8033 c=4.8033 alpha=90.00 beta=90.00 gamma=90.00
Atoms (fractional coordinates):
Au  0.5000  0.5000  0.5000
Ge  0.5000  0.0000  0.0000
Ge  0.0000  0.5000  0.0000
Ge  0.0000  0.0000  0.5000
Cl  0.0000  0.0000  0.0000